The following is a DFT calculation (GGA-PBE) of a relaxed structure of Hf2ScAl9.

a = 9.316 Å, b = 9.316 Å, c = 9.316 Å
α = 32.95°, β = 32.95°, γ = 32.95°
Positions (direct):
Hf  0.145  0.145  0.145
Hf  0.855  0.855  0.855
Sc  0.000  0.000  0.000
Al  0.081  0.589  0.589
Al  0.334  0.334  0.334
Al  0.411  0.411  0.919
Al  0.411  0.919  0.411
Al  0.500  0.500  0.500
Al  0.589  0.081  0.589
Al  0.589  0.589  0.081
Al  0.666  0.666  0.666
Al  0.919  0.411  0.411

SG = R-3m (166)
ΔE_f = -272 kJ/mol of formula units
DFT total energy = -5.23 eV per atom
Total magnetic moment = 0.0000 μB per atom